Record 1
Material: KMg2
Method: DFT, GGA-PBE
State: relaxed

Cell lengths 3.294, 4.898, 12.988 Å; angles 90.00, 90.00, 90.00 degrees
Positions (direct):
Mg 0.527 0.500 0.211
Mg 0.973 0.000 0.711
Mg 0.027 0.000 0.289
K 0.500 0.500 0.500
Mg 0.473 0.500 0.789
K 0.000 0.000 0.000

Computed properties:
DFT formation energy = 53 kJ/mol of formula units
V = 34.93 Å³ per atom
SG = No. 58
Magnetic moment = 0.0 Bohr magnetons per cell

Record 2
Material: K3Mg
Method: DFT, GGA-PBE
State: relaxed

Cell lengths 14.109, 14.109, 14.109 Å; angles 17.95, 17.95, 17.95 degrees
Positions (direct):
Mg 0.750 0.750 0.750
K 0.250 0.250 0.250
K 0.487 0.487 0.487
K 0.013 0.013 0.013

Computed properties:
DFT formation energy = 74 kJ/mol of formula units
V = 58.23 Å³ per atom
SG = No. 166
Magnetic moment = 0.2 Bohr magnetons per cell

Record 3
Material: KMg2
Method: DFT, GGA-PBE
State: relaxed

Cell lengths 6.906, 5.795, 10.311 Å; angles 90.00, 90.00, 90.00 degrees
Positions (direct):
Mg 0.404 0.750 0.996
Mg 0.771 0.250 0.298
K 0.581 0.250 0.631
Mg 0.596 0.250 0.004
Mg 0.271 0.250 0.202
K 0.081 0.250 0.869
K 0.419 0.750 0.369
Mg 0.904 0.750 0.504
K 0.919 0.750 0.131
Mg 0.096 0.250 0.496
Mg 0.229 0.750 0.702
Mg 0.729 0.750 0.798

Computed properties:
DFT formation energy = 58 kJ/mol of formula units
V = 34.39 Å³ per atom
SG = No. 62
Magnetic moment = 0.0 Bohr magnetons per cell

Record 4
Material: KMg2
Method: DFT, GGA-PBE
State: relaxed

Cell lengths 6.729, 6.729, 6.729 Å; angles 103.18, 103.18, 122.96 degrees
Positions (direct):
K 0.750 0.750 0.000
Mg 0.874 0.374 0.247
Mg 0.374 0.126 0.500
Mg 0.126 0.626 0.753
Mg 0.626 0.874 0.500
K 0.250 0.250 0.000

Computed properties:
DFT formation energy = 137 kJ/mol of formula units
V = 37.44 Å³ per atom
SG = No. 140
Magnetic moment = 0.0 Bohr magnetons per cell

Record 5
Material: K3Mg2
Method: DFT, GGA-PBE
State: relaxed

Cell lengths 6.164, 6.164, 7.787 Å; angles 90.00, 90.00, 120.00 degrees
Positions (direct):
K 0.667 0.333 0.637
Mg 0.667 0.333 0.102
K 0.333 0.667 0.363
K 0.000 0.000 0.000
Mg 0.333 0.667 0.898

Computed properties:
DFT formation energy = 105 kJ/mol of formula units
ΔE to the lowest computed polymorph = 0.0 kJ/mol of atoms
V = 51.24 Å³ per atom
SG = No. 164
Magnetic moment = 0.0 Bohr magnetons per cell

Record 6
Material: K3Mg4
Method: DFT, GGA-PBE
State: relaxed

Cell lengths 17.784, 17.784, 17.784 Å; angles 167.09, 167.09, 18.30 degrees
Positions (direct):
Mg 0.579 0.579 0.000
K 0.000 0.000 0.000
K 0.308 0.308 0.000
Mg 0.421 0.421 0.000
Mg 0.884 0.884 0.000
Mg 0.116 0.116 0.000
K 0.692 0.692 0.000

Computed properties:
DFT formation energy = 112 kJ/mol of formula units
ΔE to the lowest computed polymorph = 0.0 kJ/mol of atoms
V = 40.11 Å³ per atom
SG = No. 139
Magnetic moment = 0.0 Bohr magnetons per cell

Record 7
Material: K3Mg
Method: DFT, GGA-PBE
State: relaxed

Cell lengths 6.000, 6.000, 6.000 Å; angles 90.00, 90.00, 90.00 degrees
Positions (direct):
K 0.500 0.500 0.000
Mg 0.000 0.000 0.000
K 0.500 0.000 0.500
K 0.000 0.500 0.500

Computed properties:
DFT formation energy = 57 kJ/mol of formula units
V = 54.01 Å³ per atom
SG = No. 221
Magnetic moment = 0.0 Bohr magnetons per cell

Record 8
Material: KMg2
Method: DFT, GGA-PBE
State: relaxed

Cell lengths 6.605, 6.605, 6.605 Å; angles 60.00, 60.00, 60.00 degrees
Positions (direct):
K 0.750 0.750 0.750
Mg 0.625 0.125 0.125
Mg 0.125 0.625 0.125
Mg 0.125 0.125 0.125
K 0.500 0.500 0.500
Mg 0.125 0.125 0.625

Computed properties:
DFT formation energy = 38 kJ/mol of formula units
V = 33.96 Å³ per atom
SG = No. 227
Magnetic moment = 0.0 Bohr magnetons per cell

Record 9
Material: K3Mg
Method: DFT, GGA-PBE
State: relaxed

Cell lengths 4.336, 4.460, 11.714 Å; angles 90.00, 90.00, 90.00 degrees
Positions (direct):
K 0.500 0.500 0.750
Mg 0.500 0.500 0.250
K 0.000 0.000 0.053
K 0.000 0.000 0.447

Computed properties:
DFT formation energy = 51 kJ/mol of formula units
V = 56.63 Å³ per atom
SG = No. 47
Magnetic moment = 0.0 Bohr magnetons per cell

Record 10
Material: K3Mg4
Method: DFT, GGA-PBE
State: relaxed

Cell lengths 6.937, 6.937, 6.600 Å; angles 90.00, 90.00, 120.00 degrees
Positions (direct):
Mg 0.000 0.000 0.268
Mg 0.000 0.000 0.732
Mg 0.667 0.333 0.500
Mg 0.333 0.667 0.500
K 0.000 0.500 0.000
K 0.500 0.500 0.000
K 0.500 0.000 0.000

Computed properties:
DFT formation energy = 274 kJ/mol of formula units
ΔE to the lowest computed polymorph = 23.2 kJ/mol of atoms
V = 39.30 Å³ per atom
SG = No. 191
Magnetic moment = 0.0 Bohr magnetons per cell

Record 11
Material: KMg2
Method: DFT, GGA-PBE
State: relaxed

Cell lengths 5.780, 5.780, 5.780 Å; angles 60.00, 60.00, 60.00 degrees
Positions (direct):
K 0.000 0.000 0.000
Mg 0.750 0.750 0.750
Mg 0.250 0.250 0.250

Computed properties:
DFT formation energy = 168 kJ/mol of formula units
V = 45.52 Å³ per atom
SG = No. 225
Magnetic moment = 0.0 Bohr magnetons per cell

Record 12
Material: KMg2
Method: DFT, GGA-PBE
State: relaxed

Cell lengths 7.632, 7.632, 8.096 Å; angles 75.59, 75.59, 26.58 degrees
Positions (direct):
Mg 0.325 0.325 0.541
Mg 0.719 0.719 0.857
K 0.019 0.019 0.225
Mg 0.281 0.281 0.143
Mg 0.675 0.675 0.459
K 0.981 0.981 0.775

Computed properties:
DFT formation energy = 48 kJ/mol of formula units
V = 34.00 Å³ per atom
SG = No. 12
Magnetic moment = 0.0 Bohr magnetons per cell

> DFT formation energy of number 3 (KMg2)?

58 kJ/mol of formula units

> Look up the DFT formation energy of the fourth one.

137 kJ/mol of formula units

> Look up the DFT formation energy of the eighth one.

38 kJ/mol of formula units

> Among the records above, which one has the lowest DFT formation energy?

number 8